Entry 1:
DFT (PBE) results for a geometry-optimized PrPuGePd structure.

Values from the calculation:
Formation enthalpy at 0 K   -0.496 eV/atom

a = 7.267 Å, b = 7.267 Å, c = 7.267 Å
α = 90.00°, β = 90.00°, γ = 90.00°
Space group F-43m (No. 216)
Asymmetric unit:
Pr 0.000 0.000 0.000
Pu 0.000 0.000 0.500
Ge 0.250 0.250 0.750
Pd 0.250 0.250 0.250

=====

Entry 2:
DFT (PBE) results for a geometry-optimized PrPu2Ge2Pd2 structure.

Values from the calculation:
Formation enthalpy at 0 K   -0.432 eV/atom

a = 4.2237 Å, b = 4.2237 Å, c = 26.8720 Å
α = 90.00°, β = 90.00°, γ = 120.00°
Space group R-3m (No. 166, hexagonal axes)
Asymmetric unit:
Pr 0.0000 0.0000 0.0000
Pu 0.0000 0.0000 0.1544
Ge 0.0000 0.0000 0.2627
Pd 0.0000 0.0000 0.4278

=====

Entry 3:
DFT (PBE) results for a geometry-optimized Pr2Ge4PdRh3 structure.

Values from the calculation:
Formation enthalpy at 0 K   -0.846 eV/atom

a = 4.309 Å, b = 4.309 Å, c = 10.154 Å
α = 90.00°, β = 90.00°, γ = 90.00°
Space group P-4m2 (No. 115)
Asymmetric unit:
Pr 0.000 0.500 0.241
Ge 0.000 0.000 0.000
Ge 0.000 0.500 0.634
Ge 0.500 0.500 0.000
Pd 0.000 0.000 0.500
Rh 0.000 0.500 0.875
Rh 0.500 0.500 0.500

=====

Entry 4:
DFT (PBE) results for a geometry-optimized Pr2Ge3Pd4Rh structure.

Values from the calculation:
Formation enthalpy at 0 K   -0.710 eV/atom

a = 4.242 Å, b = 4.242 Å, c = 10.754 Å
α = 90.00°, β = 90.00°, γ = 90.00°
Space group P-4m2 (No. 115)
Asymmetric unit:
Pr 0.000 0.500 0.240
Ge 0.000 0.000 0.000
Ge 0.000 0.500 0.628
Pd 0.000 0.000 0.500
Pd 0.000 0.500 0.855
Pd 0.500 0.500 0.500
Rh 0.500 0.500 0.000

=====

Entry 5:
DFT (PBE) results for a geometry-optimized PrGePdRh structure.

Values from the calculation:
Formation enthalpy at 0 K   -0.478 eV/atom

a = 4.523 Å, b = 3.517 Å, c = 10.043 Å
α = 90.00°, β = 90.00°, γ = 90.00°
Space group Amm2 (No. 38)
Asymmetric unit:
Pr 0.000 0.000 0.000
Ge 0.500 0.000 0.641
Pd 0.000 0.000 0.735
Rh 0.500 0.000 0.337

=====

Entry 6:
DFT (PBE) results for a geometry-optimized PrGe2PdRh structure.

Values from the calculation:
Formation enthalpy at 0 K   -0.820 eV/atom

a = 4.247 Å, b = 4.247 Å, c = 10.492 Å
α = 90.00°, β = 90.00°, γ = 90.00°
Space group I-4m2 (No. 119)
Asymmetric unit:
Pr 0.000 0.000 0.000
Ge 0.000 0.000 0.379
Pd 0.000 0.500 0.750
Rh 0.000 0.500 0.250

=====

Entry 7:
DFT (PBE) results for a geometry-optimized Pr2Ge4Pd3Rh structure.

Values from the calculation:
Formation enthalpy at 0 K   -0.824 eV/atom

a = 4.320 Å, b = 4.320 Å, c = 10.320 Å
α = 90.00°, β = 90.00°, γ = 90.00°
Space group P-4m2 (No. 115)
Asymmetric unit:
Pr 0.000 0.500 0.246
Ge 0.000 0.000 0.000
Ge 0.000 0.500 0.628
Ge 0.500 0.500 0.000
Pd 0.000 0.500 0.868
Pd 0.500 0.500 0.500
Rh 0.000 0.000 0.500

=====

Entry 8:
DFT (PBE) results for a geometry-optimized Pr2Ge3PdRh4 structure.

Values from the calculation:
Formation enthalpy at 0 K   -0.783 eV/atom

a = 4.208 Å, b = 4.208 Å, c = 10.587 Å
α = 90.00°, β = 90.00°, γ = 90.00°
Space group P-4m2 (No. 115)
Asymmetric unit:
Pr 0.000 0.500 0.246
Ge 0.000 0.000 0.000
Ge 0.000 0.500 0.624
Pd 0.500 0.500 0.000
Rh 0.000 0.000 0.500
Rh 0.000 0.500 0.854
Rh 0.500 0.500 0.500

=====

- Number 8 is which compound?
  Pr2Ge3PdRh4

=====

- Which value of formation enthalpy at 0 K does entry 7 give?
  -0.824 eV/atom

=====

- formation enthalpy at 0 K of number 2 (PrPu2Ge2Pd2)?
  -0.432 eV/atom